Entry from Alexandria: a relaxed UNiSbPd crystal (PBE).

It has space group F-43m (No. 216), with a = 6.690 Å, b = 6.690 Å, c = 6.690 Å, α = 90.00°, β = 90.00° and γ = 90.00°. The asymmetric unit holds U at (0.000, 0.000, 0.000), Ni at (0.250, 0.250, 0.750), Sb at (0.000, 0.000, 0.500) and Pd at (0.250, 0.250, 0.250).

The calculation puts the formation energy (no corrections) at -0.286 eV/atom. For the density of states at the Fermi level, the calculation gives 25.39 states/eV/cell.